1.
# Sr2CdBiPt

Crystalline Sr2CdBiPt at its relaxed geometry (PBE-GGA, Alexandria).

Energy of formation (kJ/mol of atoms): -55
Total DFT energy (no corrections) (eV per atom): -3.4088
Total moment (μB/atom): 0.0000

a = 5.772 Å, b = 5.772 Å, c = 5.201 Å
α = 90.00°, β = 90.00°, γ = 90.00°
Positions (direct):
Sr (0.000, 0.500, 0.000)
Sr (0.500, 0.000, 0.000)
Cd (0.000, 0.000, 0.500)
Bi (0.500, 0.500, 0.500)
Pt (0.000, 0.000, 0.000)

=====

2.
# TaCd2BiPt

Crystalline TaCd2BiPt at its relaxed geometry (PBE-GGA, Alexandria).

Energy of formation (kJ/mol of atoms): 161
Total DFT energy (no corrections) (eV per atom): -3.0538
Total moment (μB/atom): 0.0004

a = 5.399 Å, b = 5.399 Å, c = 5.033 Å
α = 90.00°, β = 90.00°, γ = 90.00°
Positions (direct):
Ta (0.000, 0.000, 0.000)
Cd (0.000, 0.500, 0.500)
Cd (0.500, 0.000, 0.500)
Bi (0.500, 0.500, 0.500)
Pt (0.500, 0.500, 0.000)